A plane-wave DFT calculation with PBE-GGA was carried out for crystalline Hf4Zr4Sc at its relaxed geometry.

a b c (Å): 7.1360 7.1360 7.1360
angles (deg): 95.69 95.69 143.30
Closest atoms and distances in Å follow each position.
Fractional positions:
Hf 0.0000 0.3382 0.3382  5 Hf 3.10-3.14, 6 Zr 3.18-3.21, 1 Sc 3.24
Hf 0.0000 0.6618 0.6618  5 Hf 3.10-3.14, 6 Zr 3.18-3.21, 1 Sc 3.24
Hf 0.3382 0.0000 0.3382  5 Hf 3.10-3.14, 6 Zr 3.18-3.21, 1 Sc 3.24
Hf 0.6618 0.0000 0.6618  5 Hf 3.10-3.14, 6 Zr 3.18-3.21, 1 Sc 3.24
Zr 0.3320 0.3320 0.6640  4 Zr 3.16-3.22, 6 Hf 3.18-3.21, 2 Sc 3.20
Zr 0.3320 0.6680 0.0000  4 Zr 3.16-3.22, 6 Hf 3.18-3.21, 2 Sc 3.20
Zr 0.6680 0.3320 0.0000  4 Zr 3.16-3.22, 6 Hf 3.18-3.21, 2 Sc 3.20
Zr 0.6680 0.6680 0.3360  4 Zr 3.16-3.22, 6 Hf 3.18-3.21, 2 Sc 3.20
Sc 0.0000 0.0000 0.0000  8 Zr 3.20, 4 Hf 3.24

## Properties
DFT formation energy   46 meV per atom
Total magnetization   0.00 μB/atom
Electronic total energy   -8.88 eV per atom